1.
Compound: TiVN2O
Source: the Alexandria database
Functional: GGA+U
Structure: relaxed

The density is 4.07 Mg/m³. The final energy comes out at -38.4 eV for the cell shown.

Structure (CIF):
```
data_TiVN2O
_chemical_formula_sum 'Ti1 V1 N2 O1'
_symmetry_space_group_name_H-M 'P 4/m m m'
_symmetry_Int_Tables_number 123
_symmetry_space_group_name_Hall '-P 4 2'
_cell_length_a 3.9203
_cell_length_b 3.9203
_cell_length_c 3.7960
_cell_angle_alpha 90.00
_cell_angle_beta 90.00
_cell_angle_gamma 90.00
loop_
_atom_site_label
_atom_site_type_symbol
_atom_site_fract_x
_atom_site_fract_y
_atom_site_fract_z
Ti1 Ti 0.0000 0.0000 0.0000
V1 V 0.5000 0.5000 0.5000
N1 N 0.0000 0.5000 0.0000
O1 O 0.0000 0.0000 0.5000
```

---

2.
Compound: TiVN2O
Source: the Alexandria database
Functional: GGA+U
Structure: relaxed

The density is 4.48 Mg/m³. The final energy comes out at -38.7 eV for the cell shown.

Structure (CIF):
```
data_TiVN2O
_chemical_formula_sum 'Ti1 V1 N2 O1'
_symmetry_space_group_name_H-M 'P 4/m m m'
_symmetry_Int_Tables_number 123
_symmetry_space_group_name_Hall '-P 4 2'
_cell_length_a 3.8059
_cell_length_b 3.8059
_cell_length_c 3.6553
_cell_angle_alpha 90.00
_cell_angle_beta 90.00
_cell_angle_gamma 90.00
loop_
_atom_site_label
_atom_site_type_symbol
_atom_site_fract_x
_atom_site_fract_y
_atom_site_fract_z
Ti1 Ti 0.0000 0.0000 0.0000
V1 V 0.5000 0.5000 0.5000
N1 N 0.0000 0.5000 0.5000
O1 O 0.5000 0.5000 0.0000
```

---

3.
Compound: TiW2NO
Source: the Alexandria database
Functional: GGA+U
Structure: relaxed

The density is 9.80 Mg/m³. The final energy comes out at -30.8 eV for the cell shown.

Structure (CIF):
```
data_TiW2NO
_chemical_formula_sum 'Ti1 W2 N1 O1'
_symmetry_space_group_name_H-M 'P 4/m m m'
_symmetry_Int_Tables_number 123
_symmetry_space_group_name_Hall '-P 4 2'
_cell_length_a 3.9479
_cell_length_b 3.9479
_cell_length_c 4.8431
_cell_angle_alpha 90.00
_cell_angle_beta 90.00
_cell_angle_gamma 90.00
loop_
_atom_site_label
_atom_site_type_symbol
_atom_site_fract_x
_atom_site_fract_y
_atom_site_fract_z
Ti1 Ti 0.0000 0.0000 0.0000
W1 W 0.0000 0.5000 0.5000
N1 N 0.5000 0.5000 0.0000
O1 O 0.5000 0.5000 0.5000
```